1.
Compound: VIn2Au8
Source: Alexandria via LeMat-Bulk
Functional: PBE
Structure: relaxed

Cell lengths 3.046, 6.951, 9.999 Å; angles 91.77, 98.76, 90.00 degrees
Atoms (fractional coordinates):
Au 0.592 0.328 0.184
Au 0.035 0.687 0.069
Au 0.365 0.067 0.731
Au 0.965 0.313 0.931
Au 0.635 0.933 0.269
Au 0.220 0.196 0.439
Au 0.780 0.804 0.561
Au 0.408 0.672 0.816
V 0.500 0.000 0.000
In 0.822 0.401 0.643
In 0.178 0.599 0.357

Computed properties:
Volume   19.013 A^3/atom
Formation energy   0.014 eV per atom
SG   C2/m (12)
DOS at the Fermi energy   0.4660 states/eV/atom



2.
Compound: VIn3Au
Source: Alexandria via LeMat-Bulk
Functional: PBE
Structure: relaxed

Cell lengths 5.296, 5.296, 5.296 Å; angles 90.00, 90.00, 90.00 degrees
Atoms (fractional coordinates):
In 0.000 0.500 0.000
In 0.000 0.000 0.500
In 0.500 0.000 0.000
V 0.500 0.500 0.500
Au 0.000 0.000 0.000

Computed properties:
Volume   29.706 A^3/atom
Formation energy   0.700 eV per atom
SG   Pm-3m (221)
DOS at the Fermi energy   1.6515 states/eV/atom



3.
Compound: VIn2Au2
Source: Alexandria via LeMat-Bulk
Functional: PBE
Structure: relaxed

Cell lengths 7.707, 7.707, 3.523 Å; angles 90.00, 90.00, 90.00 degrees
Atoms (fractional coordinates):
Au 0.842 0.342 0.500
Au 0.342 0.158 0.500
Au 0.658 0.842 0.500
Au 0.158 0.658 0.500
In 0.643 0.143 0.000
In 0.857 0.643 0.000
In 0.357 0.857 0.000
In 0.143 0.357 0.000
V 0.000 0.000 0.000
V 0.500 0.500 0.000

Computed properties:
Volume   20.923 A^3/atom
Formation energy   0.231 eV per atom
SG   P4/mbm (127)
DOS at the Fermi energy   0.9824 states/eV/atom



4.
Compound: VInAu2
Source: Alexandria via LeMat-Bulk
Functional: PBE
Structure: relaxed

Cell lengths 3.912, 4.350, 4.350 Å; angles 90.00, 90.00, 90.00 degrees
Atoms (fractional coordinates):
Au 0.000 0.000 0.500
Au 0.000 0.500 0.000
V 0.500 0.000 0.000
In 0.500 0.500 0.500

Computed properties:
Volume   18.509 A^3/atom
Formation energy   0.004 eV per atom
SG   P4/mmm (123)
DOS at the Fermi energy   0.8724 states/eV/atom



5.
Compound: VInW2Au
Source: Alexandria via LeMat-Bulk
Functional: PBE
Structure: relaxed

Cell lengths 4.923, 4.842, 4.923 Å; angles 90.00, 90.00, 90.00 degrees
Atoms (fractional coordinates):
V 0.500 0.500 0.500
In 0.000 0.500 0.000
Au 0.000 0.000 0.000
W 0.000 0.000 0.500
W 0.500 0.000 0.000

Computed properties:
Volume   23.474 A^3/atom
Formation energy   2.395 eV per atom
SG   P4/mmm (123)
DOS at the Fermi energy   1.7132 states/eV/atom



6.
Compound: VInWAu2
Source: Alexandria via LeMat-Bulk
Functional: PBE
Structure: relaxed

Cell lengths 4.969, 4.440, 4.969 Å; angles 90.00, 90.00, 90.00 degrees
Atoms (fractional coordinates):
V 0.000 0.000 0.000
Au 0.500 0.000 0.000
Au 0.000 0.000 0.500
In 0.500 0.500 0.500
W 0.000 0.500 0.000

Computed properties:
Volume   21.927 A^3/atom
Formation energy   1.078 eV per atom
SG   P4/mmm (123)
DOS at the Fermi energy   1.1353 states/eV/atom